Entry 1:
Computed, not measured: CePr2TcN5 after structural relaxation at the PBE level of DFT.

Geometry as CIF:
```
data_CePr2TcN5
_chemical_formula_sum 'Ce4 Pr8 Tc4 N20'
_cell_length_a 6.829
_cell_length_b 6.829
_cell_length_c 11.540
_cell_angle_alpha 90.00
_cell_angle_beta 90.00
_cell_angle_gamma 90.00
_symmetry_space_group_name_H-M 'I 4/m c m'
_symmetry_Int_Tables_number 140
_symmetry_space_group_name_Hall '-I 4 2c'
loop_
_atom_site_label
_atom_site_type_symbol
_atom_site_fract_x
_atom_site_fract_y
_atom_site_fract_z
_atom_site_occupancy
Ce1 Ce 0.000 0.000 0.250 1
Pr1 Pr 0.172 0.328 0.000 1
Tc1 Tc 0.000 0.500 0.250 1
N1 N 0.000 0.000 0.000 1
N2 N 0.149 0.351 0.350 1
```

Properties
The crystal system is tetragonal. The uncorrected formation energy comes out at -0.917 eV/atom.



Entry 2:
Computed, not measured: Ac2NClO after structural relaxation at the PBE level of DFT.

Geometry as CIF:
```
data_Ac2NClO
_chemical_formula_sum 'Ac2 N1 Cl1 O1'
_cell_length_a 4.2389
_cell_length_b 4.2389
_cell_length_c 7.6047
_cell_angle_alpha 90.00
_cell_angle_beta 90.00
_cell_angle_gamma 120.00
_symmetry_space_group_name_H-M 'P 3 m 1'
_symmetry_Int_Tables_number 156
_symmetry_space_group_name_Hall 'P 3 -2"'
loop_
_atom_site_label
_atom_site_type_symbol
_atom_site_fract_x
_atom_site_fract_y
_atom_site_fract_z
_atom_site_occupancy
Ac1 Ac 0.0000 0.0000 0.0000 1
Ac2 Ac 0.3333 0.6667 0.3949 1
N1 N 0.0000 0.0000 0.3167 1
Cl1 Cl 0.6667 0.3333 0.7078 1
O1 O 0.3333 0.6667 0.0551 1
```

Properties
The crystal system is trigonal. The uncorrected formation energy comes out at -2.367 eV/atom.



Entry 3:
Computed, not measured: CaAlAs2 after structural relaxation at the PBE level of DFT.

Geometry as CIF:
```
data_CaAlAs2
_chemical_formula_sum 'Ca3 Al3 As6'
_cell_length_a 3.7842
_cell_length_b 3.7842
_cell_length_c 21.4231
_cell_angle_alpha 90.00
_cell_angle_beta 90.00
_cell_angle_gamma 120.00
_symmetry_space_group_name_H-M 'R 3 m'
_symmetry_Int_Tables_number 160
_symmetry_space_group_name_Hall 'R 3 -2"'
loop_
_atom_site_label
_atom_site_type_symbol
_atom_site_fract_x
_atom_site_fract_y
_atom_site_fract_z
_atom_site_occupancy
Ca1 Ca 0.0000 0.0000 0.0000 1
Al1 Al 0.0000 0.0000 0.1668 1
As1 As 0.0000 0.0000 0.5673 1
As2 As 0.0000 0.0000 0.7636 1
```

Properties
The crystal system is trigonal. The formation energy from the elements comes out at -0.566 eV/atom. The calculation puts the energy above the most stable polymorph in this dataset at 0.0505 eV per atom.



Entry 4:
Computed, not measured: CsTl2Tc after structural relaxation at the PBE level of DFT.

Geometry as CIF:
```
data_CsTl2Tc
_chemical_formula_sum 'Cs4 Tl8 Tc4'
_cell_length_a 7.374
_cell_length_b 7.374
_cell_length_c 14.645
_cell_angle_alpha 90.00
_cell_angle_beta 90.00
_cell_angle_gamma 90.00
_symmetry_space_group_name_H-M 'I -4 2 d'
_symmetry_Int_Tables_number 122
_symmetry_space_group_name_Hall 'I -4 2bw'
loop_
_atom_site_label
_atom_site_type_symbol
_atom_site_fract_x
_atom_site_fract_y
_atom_site_fract_z
_atom_site_occupancy
Cs1 Cs 0.000 0.000 0.000 1
Tl1 Tl 0.003 0.750 0.625 1
Tc1 Tc 0.000 0.000 0.500 1
```

Properties
The crystal system is tetragonal. The formation energy from the elements comes out at 0.676 eV/atom.



- Which formula does entry 2 have?
  Ac2NClO